No. 1
The following is a DFT calculation (PBE) of a relaxed structure of KScSnF6.

Cell lengths 5.1947, 6.0188, 6.0228 Å; angles 60.03, 89.99, 90.00 degrees
Space group P1 (No. 1)
Inequivalent atoms, fractional coordinates:
1 K 0.0000 0.0000 0.0000 (multiplicity 1)
2 Sc 0.5571 0.3333 0.3330 (multiplicity 1)
3 Sn 0.4869 0.6667 0.6666 (multiplicity 1)
4 F 0.3503 0.2748 0.6388 (multiplicity 1)
5 F 0.3497 0.6385 0.0861 (multiplicity 1)
6 F 0.3510 0.0854 0.2746 (multiplicity 1)
7 F 0.7633 0.5787 0.4213 (multiplicity 1)
8 F 0.7636 0.9999 0.5784 (multiplicity 1)
9 F 0.7636 0.4220 0.9997 (multiplicity 1)

## Properties
- formation energy (no corrections) (eV/atom) = -3.146

***

No. 2
The following is a DFT calculation (PBE) of a relaxed structure of KScSn2F8.

Cell lengths 5.3851, 5.4604, 7.5992 Å; angles 87.48, 88.16, 87.02 degrees
Space group P-1 (No. 2)
Inequivalent atoms, fractional coordinates:
1 K 0.0000 0.0000 0.0000 (multiplicity 1)
2 Sc 0.0000 0.0000 0.5000 (multiplicity 1)
3 Sn 0.4954 0.4923 0.2608 (multiplicity 2)
4 F 0.1488 0.7751 0.3105 (multiplicity 2)
5 F 0.2329 0.8596 0.6926 (multiplicity 2)
6 F 0.2484 0.2557 0.4219 (multiplicity 2)
7 F 0.3250 0.3369 0.0497 (multiplicity 2)

## Properties
- formation energy (no corrections) (eV/atom) = -2.942

***

No. 3
The following is a DFT calculation (PBE) of a relaxed structure of KSrScF6.

Cell lengths 7.7223, 7.8393, 10.5913 Å; angles 90.00, 90.00, 90.00 degrees
Space group Imma (No. 74)
Inequivalent atoms, fractional coordinates:
1 K 0.0000 0.2500 0.1012 (multiplicity 4)
2 Sr 0.0000 0.0000 0.5000 (multiplicity 4)
3 Sc 0.2500 0.2500 0.7500 (multiplicity 4)
4 F 0.0000 0.2500 0.3725 (multiplicity 4)
5 F 0.0000 0.2500 0.6776 (multiplicity 4)
6 F 0.2144 0.0692 0.8812 (multiplicity 16)

## Properties
- formation energy (no corrections) (eV/atom) = -3.673

***

No. 4
The following is a DFT calculation (PBE) of a relaxed structure of KScTe2F.

Cell lengths 5.9430, 5.9430, 4.0354 Å; angles 90.00, 90.00, 90.00 degrees
Space group P4/mmm (No. 123)
Inequivalent atoms, fractional coordinates:
1 K 0.0000 0.0000 0.0000 (multiplicity 1)
2 Sc 0.5000 0.5000 0.5000 (multiplicity 1)
3 Te 0.0000 0.5000 0.5000 (multiplicity 2)
4 F 0.5000 0.5000 0.0000 (multiplicity 1)

## Properties
- formation energy (no corrections) (eV/atom) = -1.678

***

Which formula does entry 2 have? KScSn2F8

***

Which formula does entry 4 have? KScTe2F

***

Which of these has the lowest formation energy (no corrections)? KSrScF6

***

Among the records above, which one has the highest formation energy (no corrections)? KScTe2F